# 1
Material: La2Pm5Ho4
Method: DFT, PBE
State: optimized geometry

The space group is Immm (No. 71) and the conventional cell measures 3.5232, 11.6065 and 18.7168 Å, with angles of 90.00, 90.00 and 90.00 degrees. The asymmetric unit holds La at (0.0000, 0.0000, 0.2015), Pm at (0.0000, 0.2866, 0.1758), Pm at (0.0000, 0.5000, 0.5000), Ho at (0.0000, 0.0000, 0.4121) and Ho at (0.0000, 0.2761, 0.0000).

The formation enthalpy at 0 K is 179.2 meV per atom.


# 2
Material: Ac6PmNd2Y3
Method: DFT, PBE
State: optimized geometry

The space group is C2/m (No. 12) and the conventional cell measures 6.6499, 11.5255 and 12.3209 Å, with angles of 90.00, 100.38 and 90.00 degrees. The asymmetric unit holds Ac at (0.2484, 0.0000, 0.2466), Ac at (0.2487, 0.3334, 0.2467), Pm at (0.0000, 0.0000, 0.5000), Nd at (0.0000, 0.3334, 0.5000), Y at (0.0000, 0.1667, 0.0000) and Y at (0.0000, 0.5000, 0.0000).

The formation enthalpy at 0 K is 29.7 meV per atom.


# 3
Material: PmSnHgI6
Method: DFT, PBE
State: optimized geometry

The space group is C2 (No. 5) and the conventional cell measures 7.9357, 13.7255 and 7.3928 Å, with angles of 90.00, 90.01 and 90.00 degrees. The asymmetric unit holds Pm at (0.0000, 0.0000, 0.0000), Sn at (0.0000, 0.6667, 0.0000), Hg at (0.0000, 0.3332, 0.5000), I at (0.1509, 0.8358, 0.7569), I at (0.1708, 0.1581, 0.7578) and I at (0.1781, 0.5065, 0.7572).

The calculation puts the total energy at -50.66 eV for the cell shown.


# 4
Material: AlReP
Method: DFT, PBE
State: optimized geometry

The space group is Fmm2 (No. 42) and the conventional cell measures 3.0143, 4.8884 and 12.1812 Å, with angles of 90.00, 90.00 and 90.00 degrees. The asymmetric unit holds Al at (0.0000, 0.0000, 0.0000), Re at (0.0000, 0.0000, 0.6775) and P at (0.0000, 0.0000, 0.3261).

The formation enthalpy at 0 K is 206.7 meV per atom.


# 5
Material: SmTm6Th
Method: DFT, PBE
State: optimized geometry

The space group is P4/mmm (No. 123) and the conventional cell measures 4.9747, 4.9747 and 9.9471 Å, with angles of 90.00, 90.00 and 90.00 degrees. The asymmetric unit holds Sm at (0.0000, 0.0000, 0.0000), Tm at (0.0000, 0.5000, 0.2526), Tm at (0.5000, 0.5000, 0.0000), Tm at (0.5000, 0.5000, 0.5000) and Th at (0.0000, 0.0000, 0.5000).

The formation enthalpy at 0 K is 29.8 meV per atom.


# 6
Material: LaAlCuPt2
Method: DFT, PBE
State: optimized geometry

The space group is I-4m2 (No. 119) and the conventional cell measures 4.0254, 4.0254 and 11.9512 Å, with angles of 90.00, 90.00 and 90.00 degrees. The asymmetric unit holds La at (0.0000, 0.0000, 0.0000), Al at (0.0000, 0.5000, 0.2500), Cu at (0.0000, 0.5000, 0.7500) and Pt at (0.0000, 0.0000, 0.3844).

The formation enthalpy at 0 K is -878.6 meV per atom.